No. 1
Below is an optimized crystal structure of CoRe2Tc, with properties calculated at the PBE level.

Unit cell a=4.165 b=5.141 c=5.141 alpha=30.38 beta=90.00 gamma=90.00
Atoms (fractional coordinates):
1 Co 0.000 0.000 0.000
2 Re 0.000 0.743 0.743
3 Re 0.500 0.127 0.127
4 Tc 0.500 0.391 0.391

Properties
- space group = No. 38
- relative energy among the computed polymorphs (meV/atom) = 62
- energy relative to the elements (eV/atom) = 0.088
- crystal system = orthorhombic
- M_tot (μB per atom) = 0.000

=====

No. 2
Below is an optimized crystal structure of Pm2Dy4Ho3, with properties calculated at the PBE level.

Unit cell a=10.158 b=10.158 c=5.970 alpha=95.83 beta=95.83 gamma=69.70
Atoms (fractional coordinates):
1 Pm 0.008 0.783 0.719
2 Pm 0.217 0.992 0.781
3 Pm 0.783 0.008 0.219
4 Pm 0.992 0.217 0.281
5 Dy 0.124 0.340 0.875
6 Dy 0.331 0.545 0.955
7 Dy 0.340 0.124 0.375
8 Dy 0.455 0.669 0.545
9 Dy 0.545 0.331 0.455
10 Dy 0.660 0.876 0.625
11 Dy 0.669 0.455 0.045
12 Dy 0.876 0.660 0.125
13 Ho 0.152 0.848 0.250
14 Ho 0.183 0.487 0.414
15 Ho 0.487 0.183 0.914
16 Ho 0.513 0.817 0.086
17 Ho 0.817 0.513 0.586
18 Ho 0.848 0.152 0.750

Properties
- space group = No. 15
- energy relative to the elements (eV/atom) = 0.095
- crystal system = monoclinic
- M_tot (μB per atom) = 0.000

=====

No. 3
Below is an optimized crystal structure of CaPbW2, with properties calculated at the PBE level.

Unit cell a=2.893 b=2.893 c=10.091 alpha=90.00 beta=90.00 gamma=90.00
Atoms (fractional coordinates):
1 Ca 0.000 0.000 0.000
2 Pb 0.000 0.000 0.500
3 W 0.500 0.500 0.256
4 W 0.500 0.500 0.744

Properties
- space group = No. 123
- energy relative to the elements (eV/atom) = 1.169
- crystal system = tetragonal
- M_tot (μB per atom) = 0.000

=====

No. 4
Below is an optimized crystal structure of LaTlSb2, with properties calculated at the PBE level.

Unit cell a=5.526 b=5.526 c=5.526 alpha=60.00 beta=60.00 gamma=60.00
Atoms (fractional coordinates):
1 La 0.000 0.000 0.000
2 Tl 0.250 0.250 0.250
3 Sb 0.500 0.500 0.500
4 Sb 0.750 0.750 0.750

Properties
- space group = No. 216
- relative energy among the computed polymorphs (meV/atom) = 281
- crystal system = cubic
- M_tot (μB per atom) = 0.000

=====

No. 5
Below is an optimized crystal structure of GaCuNi3, with properties calculated at the PBE level.

Unit cell a=4.296 b=4.296 c=4.296 alpha=90.00 beta=90.00 gamma=90.00
Atoms (fractional coordinates):
1 Ga 0.000 0.000 0.000
2 Cu 0.500 0.500 0.500
3 Ni 0.000 0.000 0.500
4 Ni 0.000 0.500 0.000
5 Ni 0.500 0.000 0.000

Properties
- space group = No. 221
- relative energy among the computed polymorphs (meV/atom) = 767
- energy relative to the elements (eV/atom) = 0.830
- crystal system = cubic
- M_tot (μB per atom) = 0.000

=====

No. 6
Below is an optimized crystal structure of LaAlGaNi3, with properties calculated at the PBE level.

Unit cell a=6.781 b=6.781 c=5.502 alpha=90.00 beta=90.00 gamma=125.65
Atoms (fractional coordinates):
1 La 0.216 0.784 0.750
2 La 0.784 0.216 0.250
3 Al 0.470 0.530 0.750
4 Al 0.530 0.470 0.250
5 Ga 0.131 0.869 0.250
6 Ga 0.869 0.131 0.750
7 Ni 0.198 0.198 0.000
8 Ni 0.198 0.198 0.500
9 Ni 0.334 0.666 0.250
10 Ni 0.666 0.334 0.750
11 Ni 0.802 0.802 0.000
12 Ni 0.802 0.802 0.500

Properties
- space group = No. 63
- energy relative to the elements (eV/atom) = -0.318
- crystal system = orthorhombic
- M_tot (μB per atom) = 0.000

=====

No. 7
Below is an optimized crystal structure of CsCe2Hg2S6, with properties calculated at the PBE level.

Unit cell a=7.654 b=7.670 c=7.891 alpha=62.88 beta=67.12 gamma=63.11
Atoms (fractional coordinates):
1 Cs 0.000 0.000 0.000
2 Ce 0.341 0.336 0.016
3 Ce 0.659 0.664 0.984
4 Hg 0.321 0.771 0.511
5 Hg 0.679 0.229 0.489
6 S 0.069 0.661 0.783
7 S 0.357 0.523 0.227
8 S 0.459 0.083 0.774
9 S 0.541 0.917 0.226
10 S 0.643 0.477 0.773
11 S 0.931 0.339 0.217

Properties
- space group = No. 2
- E_tot (eV/cell) = -50.31
- crystal system = triclinic
- M_tot (μB per atom) = 0.095

=====

No. 8
Below is an optimized crystal structure of AcPrAu2, with properties calculated at the PBE level.

Unit cell a=8.137 b=8.137 c=8.137 alpha=30.95 beta=30.95 gamma=30.95
Atoms (fractional coordinates):
1 Ac 0.000 0.000 0.000
2 Pr 0.171 0.171 0.171
3 Au 0.582 0.582 0.582
4 Au 0.757 0.757 0.757

Properties
- space group = No. 160
- relative energy among the computed polymorphs (meV/atom) = 114
- energy relative to the elements (eV/atom) = -0.678
- crystal system = trigonal
- M_tot (μB per atom) = 0.000

=====

No. 9
Below is an optimized crystal structure of LiTa2Cl, with properties calculated at the PBE level.

Unit cell a=4.638 b=4.638 c=4.638 alpha=60.00 beta=60.00 gamma=60.00
Atoms (fractional coordinates):
1 Li 0.000 0.000 0.000
2 Ta 0.250 0.250 0.250
3 Ta 0.500 0.500 0.500
4 Cl 0.750 0.750 0.750

Properties
- space group = No. 216
- relative energy among the computed polymorphs (meV/atom) = 1001
- crystal system = cubic
- M_tot (μB per atom) = 0.001

=====

No. 10
Below is an optimized crystal structure of In2CuPd2, with properties calculated at the PBE level.

Unit cell a=6.970 b=6.970 c=3.750 alpha=90.00 beta=90.00 gamma=90.00
Atoms (fractional coordinates):
1 In 0.160 0.340 0.000
2 In 0.340 0.840 0.000
3 In 0.660 0.160 0.000
4 In 0.840 0.660 0.000
5 Cu 0.000 0.000 0.500
6 Cu 0.500 0.500 0.500
7 Pd 0.145 0.645 0.500
8 Pd 0.355 0.145 0.500
9 Pd 0.645 0.855 0.500
10 Pd 0.855 0.355 0.500

Properties
- space group = No. 127
- relative energy among the computed polymorphs (meV/atom) = 0
- energy relative to the elements (eV/atom) = -0.289
- crystal system = tetragonal
- M_tot (μB per atom) = 0.000

=====

No. 11
Below is an optimized crystal structure of UTe2PdSe, with properties calculated at the PBE level.

Unit cell a=4.152 b=4.152 c=14.762 alpha=90.00 beta=90.00 gamma=90.00
Atoms (fractional coordinates):
1 U 0.250 0.250 0.138
2 U 0.750 0.750 0.862
3 Te 0.250 0.250 0.416
4 Te 0.250 0.250 0.778
5 Te 0.750 0.750 0.222
6 Te 0.750 0.750 0.584
7 Pd 0.250 0.250 0.597
8 Pd 0.750 0.750 0.403
9 Se 0.250 0.750 0.000
10 Se 0.750 0.250 0.000

Properties
- space group = No. 129
- E_tot (eV/cell) = -57.80
- crystal system = tetragonal
- M_tot (μB per atom) = 0.539

=====

No. 12
Below is an optimized crystal structure of ZrTlFe2, with properties calculated at the PBE level.

Unit cell a=8.438 b=8.438 c=8.438 alpha=21.86 beta=21.86 gamma=21.86
Atoms (fractional coordinates):
1 Zr 0.000 0.000 0.000
2 Tl 0.500 0.500 0.500
3 Fe 0.253 0.253 0.253
4 Fe 0.747 0.747 0.747

Properties
- space group = No. 166
- relative energy among the computed polymorphs (meV/atom) = 359
- energy relative to the elements (eV/atom) = 0.497
- crystal system = trigonal
- M_tot (μB per atom) = 0.928

=====

No. 13
Below is an optimized crystal structure of CaLaPPd, with properties calculated at the PBE level.

Unit cell a=5.082 b=5.082 c=5.082 alpha=60.00 beta=60.00 gamma=60.00
Atoms (fractional coordinates):
1 Ca 0.000 0.000 0.000
2 La 0.500 0.500 0.500
3 P 0.250 0.250 0.250
4 Pd 0.750 0.750 0.750

Properties
- space group = No. 216
- energy relative to the elements (eV/atom) = -0.925
- crystal system = cubic
- M_tot (μB per atom) = 0.000

=====

No. 14
Below is an optimized crystal structure of GdNiPt4, with properties calculated at the PBE level.

Unit cell a=5.323 b=5.323 c=5.323 alpha=60.00 beta=60.00 gamma=60.00
Atoms (fractional coordinates):
1 Gd 0.000 0.000 0.000
2 Ni 0.250 0.250 0.250
3 Pt 0.127 0.624 0.624
4 Pt 0.624 0.127 0.624
5 Pt 0.624 0.624 0.127
6 Pt 0.624 0.624 0.624

Properties
- space group = No. 216
- energy relative to the elements (eV/atom) = -0.513
- crystal system = cubic
- M_tot (μB per atom) = 1.046

=====

No. 15
Below is an optimized crystal structure of La2AgBr, with properties calculated at the PBE level.

Unit cell a=3.730 b=3.830 c=8.727 alpha=90.00 beta=90.00 gamma=90.00
Atoms (fractional coordinates):
1 La 0.000 0.000 0.219
2 La 0.000 0.000 0.781
3 Ag 0.500 0.500 0.000
4 Br 0.000 0.500 0.500

Properties
- space group = No. 47
- relative energy among the computed polymorphs (meV/atom) = 78
- crystal system = orthorhombic
- M_tot (μB per atom) = 0.001

=====

No. 16
Below is an optimized crystal structure of CuAg5Au2, with properties calculated at the PBE level.

Unit cell a=5.992 b=11.971 c=3.866 alpha=90.00 beta=90.00 gamma=90.00
Atoms (fractional coordinates):
1 Cu 0.000 0.000 0.000
2 Cu 0.500 0.500 0.000
3 Ag 0.000 0.500 0.000
4 Ag 0.009 0.250 0.000
5 Ag 0.250 0.123 0.500
6 Ag 0.250 0.623 0.500
7 Ag 0.491 0.750 0.000
8 Ag 0.500 0.000 0.000
9 Ag 0.509 0.250 0.000
10 Ag 0.750 0.377 0.500
11 Ag 0.750 0.877 0.500
12 Ag 0.991 0.750 0.000
13 Au 0.234 0.881 0.500
14 Au 0.266 0.381 0.500
15 Au 0.734 0.619 0.500
16 Au 0.766 0.119 0.500

Properties
- space group = No. 55
- relative energy among the computed polymorphs (meV/atom) = 14
- energy relative to the elements (eV/atom) = 0.010
- crystal system = orthorhombic
- M_tot (μB per atom) = 0.000

=====

No. 17
Below is an optimized crystal structure of TlCd4In2, with properties calculated at the PBE level.

Unit cell a=10.892 b=10.892 c=10.892 alpha=157.68 beta=157.68 gamma=31.77
Atoms (fractional coordinates):
1 Tl 0.000 0.000 0.000
2 Cd 0.145 0.145 0.000
3 Cd 0.250 0.750 0.500
4 Cd 0.750 0.250 0.500
5 Cd 0.855 0.855 0.000
6 In 0.413 0.413 0.000
7 In 0.587 0.587 0.000

Properties
- space group = No. 139
- relative energy among the computed polymorphs (meV/atom) = 10
- energy relative to the elements (eV/atom) = 0.073
- crystal system = tetragonal
- M_tot (μB per atom) = 0.000

=====

No. 18
Below is an optimized crystal structure of Ca2Nb2Ni, with properties calculated at the PBE level.

Unit cell a=8.729 b=8.729 c=3.406 alpha=90.00 beta=90.00 gamma=90.00
Atoms (fractional coordinates):
1 Ca 0.203 0.297 0.000
2 Ca 0.297 0.797 0.000
3 Ca 0.703 0.203 0.000
4 Ca 0.797 0.703 0.000
5 Nb 0.090 0.590 0.500
6 Nb 0.410 0.090 0.500
7 Nb 0.590 0.910 0.500
8 Nb 0.910 0.410 0.500
9 Ni 0.000 0.000 0.000
10 Ni 0.500 0.500 0.000

Properties
- space group = No. 127
- relative energy among the computed polymorphs (meV/atom) = 554
- energy relative to the elements (eV/atom) = 1.062
- crystal system = tetragonal
- M_tot (μB per atom) = 0.000

=====

No. 19
Below is an optimized crystal structure of Ho7Pd2Au2, with properties calculated at the PBE level.

Unit cell a=6.660 b=6.660 c=7.104 alpha=90.00 beta=90.00 gamma=107.92
Atoms (fractional coordinates):
1 Ho 0.000 0.000 0.000
2 Ho 0.000 0.500 0.264
3 Ho 0.000 0.500 0.736
4 Ho 0.500 0.000 0.264
5 Ho 0.500 0.000 0.736
6 Ho 0.500 0.500 0.258
7 Ho 0.500 0.500 0.742
8 Pd 0.288 0.712 0.000
9 Pd 0.712 0.288 0.000
10 Au 0.194 0.194 0.500
11 Au 0.806 0.806 0.500

Properties
- space group = No. 65
- relative energy among the computed polymorphs (meV/atom) = 197
- energy relative to the elements (eV/atom) = -0.449
- crystal system = orthorhombic
- M_tot (μB per atom) = 0.000

=====

No. 20
Below is an optimized crystal structure of NdZn2Ni2Ge, with properties calculated at the PBE level.

Unit cell a=4.395 b=4.395 c=5.695 alpha=90.00 beta=90.00 gamma=90.00
Atoms (fractional coordinates):
1 Nd 0.000 0.000 0.000
2 Zn 0.500 0.500 0.245
3 Zn 0.500 0.500 0.755
4 Ni 0.000 0.500 0.500
5 Ni 0.500 0.000 0.500
6 Ge 0.000 0.000 0.500

Properties
- space group = No. 123
- energy relative to the elements (eV/atom) = -0.213
- crystal system = tetragonal
- M_tot (μB per atom) = 0.000